Computed, not measured: a relaxed structure of CaReW2 at the PBE level of DFT.

Results
Its symmetry is Pm. The value obtained for the distance to the lowest polymorph of the same formula is 138 meV/atom. As for the crystal system: monoclinic. The value obtained for the volume is 72.5 Å³/cell. The value obtained for the total energy is -9.445 eV/atom. The value obtained for the calculated formation energy is 0.644 eV/atom. As for the magnetization: 0.00 Bohr magnetons per cell.

abc: 4.4893 2.7457 5.9470
angles: 81.54 90.00 90.00
Fractional coordinates of all 4 atoms:
W (0.5000, 0.2556, 0.2109)
Ca (0.0000, 0.4948, 0.5039)
Re (0.5000, 0.7544, 0.7876)
W (0.0000, 0.9951, 0.9977)